Record 1
Entry from Alexandria via LeMat-Bulk: a PBEsol-optimized structure of Ca2MgW (meta-GGA SCAN).

## Properties
Total magnetization = 0.00 μB per atom
Total DFT energy (no corrections) = -22.6421 eV/atom
ΔH_f (0 K) = 0.855 eV per atom
D(E_F) = 4.0 states/eV/cell

a = 5.878 Å, b = 5.878 Å, c = 2.965 Å
α = 90.00°, β = 90.00°, γ = 114.96°
Positions (direct):
1 Ca 0.000 0.500 0.000
2 Ca 0.500 0.000 0.000
3 Mg 0.000 0.000 0.500
4 W 0.500 0.500 0.500

Record 2
Entry from Alexandria via LeMat-Bulk: a PBEsol-optimized structure of YInPd (meta-GGA SCAN).

## Properties
Total magnetization = 0.00 μB per atom
Total DFT energy (no corrections) = -32.3031 eV/atom
ΔH_f (0 K) = -0.969 eV per atom
D(E_F) = 6.2 states/eV/cell

a = 7.548 Å, b = 7.548 Å, c = 3.843 Å
α = 90.00°, β = 90.00°, γ = 120.00°
Positions (direct):
1 Y 0.000 0.409 0.000
2 Y 0.409 0.000 0.000
3 Y 0.591 0.591 0.000
4 In 0.000 0.742 0.500
5 In 0.258 0.258 0.500
6 In 0.742 0.000 0.500
7 Pd 0.000 0.000 0.000
8 Pd 0.333 0.667 0.500
9 Pd 0.667 0.333 0.500

Copy entry 1 word for word.
Entry from Alexandria via LeMat-Bulk: a PBEsol-optimized structure of Ca2MgW (meta-GGA SCAN).

## Properties
Total magnetization = 0.00 μB per atom
Total DFT energy (no corrections) = -22.6421 eV/atom
ΔH_f (0 K) = 0.855 eV per atom
D(E_F) = 4.0 states/eV/cell

a = 5.878 Å, b = 5.878 Å, c = 2.965 Å
α = 90.00°, β = 90.00°, γ = 114.96°
Positions (direct):
1 Ca 0.000 0.500 0.000
2 Ca 0.500 0.000 0.000
3 Mg 0.000 0.000 0.500
4 W 0.500 0.500 0.500